[1]
Here is an optimized crystal structure of Pu4HPd2 from the Alexandria database. Energies are from GGA-PBE.

Output
- total magnetization (Bohr magnetons per cell) = 47.02
- crystal system = tetragonal
- VASP energy (eV/atom) = -10.366

Unit cell a=4.412 b=4.412 c=15.698 alpha=90.00 beta=90.00 gamma=90.00
Space group I4/mmm (No. 139)
Inequivalent atoms, fractional coordinates:
Pu1 0.000 0.000 0.181 x4
Pu2 0.000 0.500 0.000 x4
H1 0.000 0.000 0.000 x2
Pd1 0.000 0.000 0.362 x4

***

[2]
Here is an optimized crystal structure of Pu2HPd from the Alexandria database. Energies are from GGA-PBE.

Output
- total magnetization (Bohr magnetons per cell) = 0.01
- crystal system = trigonal
- VASP energy (eV/atom) = -9.180

Unit cell a=3.7521 b=3.7521 c=14.9887 alpha=90.00 beta=90.00 gamma=120.00
Space group R-3m (No. 166, hexagonal axes)
Inequivalent atoms, fractional coordinates:
Pu1 0.0000 0.0000 0.2052 x6
H1 0.0000 0.0000 0.5000 x3
Pd1 0.0000 0.0000 0.0000 x3

***

[3]
Here is an optimized crystal structure of Pu3HPd from the Alexandria database. Energies are from GGA-PBE.

Output
- total magnetization (Bohr magnetons per cell) = 18.55
- crystal system = cubic
- VASP energy (eV/atom) = -10.427

Unit cell a=4.671 b=4.671 c=4.671 alpha=90.00 beta=90.00 gamma=90.00
Space group Pm-3m (No. 221)
Inequivalent atoms, fractional coordinates:
Pu1 0.000 0.000 0.500 x3
H1 0.000 0.000 0.000 x1
Pd1 0.500 0.500 0.500 x1

***

[4]
Here is an optimized crystal structure of PuH8Pd6 from the Alexandria database. Energies are from GGA-PBE.

Output
- total magnetization (Bohr magnetons per cell) = 15.93
- crystal system = trigonal
- VASP energy (eV/atom) = -4.972

Unit cell a=8.1077 b=8.1077 c=7.7386 alpha=90.00 beta=90.00 gamma=120.00
Space group R-3 (No. 148, hexagonal axes)
Inequivalent atoms, fractional coordinates:
Pu1 0.0000 0.0000 0.0000 x3
H1 0.0000 0.0000 0.3107 x6
H2 0.0120 0.4151 0.7885 x18
Pd1 0.0352 0.2427 0.6570 x18

***

[5]
Here is an optimized crystal structure of PuH2Pd from the Alexandria database. Energies are from GGA-PBE.

Output
- total magnetization (Bohr magnetons per cell) = 14.09
- crystal system = trigonal
- VASP energy (eV/atom) = -6.525

Unit cell a=2.9722 b=2.9722 c=18.1466 alpha=90.00 beta=90.00 gamma=120.00
Space group R-3m (No. 166, hexagonal axes)
Inequivalent atoms, fractional coordinates:
Pu1 0.0000 0.0000 0.0000 x3
H1 0.0000 0.0000 0.1259 x6
Pd1 0.0000 0.0000 0.5000 x3

***

[6]
Here is an optimized crystal structure of PuHPd from the Alexandria database. Energies are from GGA-PBE.

Output
- total magnetization (Bohr magnetons per cell) = 23.41
- crystal system = monoclinic
- VASP energy (eV/atom) = -7.852

Unit cell a=9.899 b=3.002 c=7.416 alpha=90.00 beta=126.06 gamma=90.00
Space group C2/m (No. 12)
Inequivalent atoms, fractional coordinates:
Pu1 0.050 0.000 0.324 x4
H1 0.166 0.500 0.656 x4
Pd1 0.192 0.500 0.120 x4

***

[7]
Here is an optimized crystal structure of PuH7Pd5 from the Alexandria database. Energies are from GGA-PBE.

Output
- total magnetization (Bohr magnetons per cell) = 5.12
- crystal system = triclinic
- VASP energy (eV/atom) = -5.086

Unit cell a=5.633 b=5.695 c=5.711 alpha=119.70 beta=118.46 gamma=90.58
Space group P1 (No. 1)
Inequivalent atoms, fractional coordinates:
Pu1 0.000 0.000 0.000 x1
H1 0.055 0.577 0.604 x1
H2 0.376 0.938 0.409 x1
H3 0.459 0.484 0.443 x1
H4 0.468 0.017 0.949 x1
H5 0.498 0.499 0.976 x1
H6 0.834 0.132 0.620 x1
H7 0.924 0.468 0.131 x1
Pd1 0.132 0.302 0.680 x1
Pd2 0.254 0.742 0.515 x1
Pd3 0.563 0.876 0.206 x1
Pd4 0.670 0.419 0.759 x1
Pd5 0.672 0.406 0.261 x1

***

[8]
Here is an optimized crystal structure of Pu2HPd6 from the Alexandria database. Energies are from GGA-PBE.

Output
- total magnetization (Bohr magnetons per cell) = 39.37
- crystal system = cubic
- VASP energy (eV/atom) = -7.509

Unit cell a=8.357 b=8.357 c=8.357 alpha=90.00 beta=90.00 gamma=90.00
Space group Fm-3m (No. 225)
Inequivalent atoms, fractional coordinates:
Pu1 0.250 0.250 0.250 x8
H1 0.000 0.000 0.000 x4
Pd1 0.000 0.000 0.251 x24

***

[9]
Here is an optimized crystal structure of PuHPd from the Alexandria database. Energies are from GGA-PBE.

Output
- total magnetization (Bohr magnetons per cell) = 10.84
- crystal system = tetragonal
- VASP energy (eV/atom) = -7.675

Unit cell a=3.976 b=3.976 c=7.000 alpha=90.00 beta=90.00 gamma=90.00
Space group I4mm (No. 107)
Inequivalent atoms, fractional coordinates:
Pu1 0.000 0.000 0.000 x2
H1 0.000 0.000 0.328 x2
Pd1 0.000 0.000 0.571 x2